Model w:
RbIn2Pb2 | the Alexandria database | GGA-PBEsol | relaxed; space group = P4/mbm, No. 127
1.0
-0.272 -1.459 -3.186
-4.810 -7.219 3.718
-8.087 4.648 -1.438
Pb Rb In
4 2 4
direct
0.000 0.362 0.862
0.000 0.638 0.138
0.000 0.862 0.638
0.000 0.138 0.362
0.000 0.000 0.000
0.000 0.500 0.500
0.500 0.651 0.849
0.500 0.849 0.349
0.500 0.151 0.651
0.500 0.349 0.151

***

Model x:
RbIn2Pb2 | the Alexandria database | GGA-PBEsol | relaxed; space group = I4/mmm, No. 139
1.0
-1.956 -4.514 -1.635
-0.163 -1.702 4.894
-4.581 5.339 -1.041
In Pb Rb
2 2 1
direct
0.384 0.384 0.767
0.616 0.616 0.233
0.750 0.250 0.500
0.250 0.750 0.500
0.000 0.000 0.000

***

It comes down to model x, which is 78 meV/atom more stable than the next structure.

***

Model w:
InSbPb2 | the Alexandria database | GGA-PBEsol | relaxed; space group = Imm2, No. 44
1.0
4.145 0.000 0.000
0.000 5.192 0.000
-2.072 -2.596 5.225
Sb Pb In
1 2 1
direct
0.507 0.507 0.015
0.766 0.266 0.531
0.991 0.991 0.983
0.235 0.735 0.471

***

Model x:
InSbPb2 | the Alexandria database | GGA-PBEsol | relaxed; space group = Pmm2, No. 25
1.0
-0.074 3.084 1.487
-4.226 0.853 -1.977
-3.132 -2.734 5.514
Pb Sb In
2 1 1
direct
0.000 0.000 0.989
0.500 0.500 0.258
0.000 0.000 0.512
0.500 0.500 0.742

***

Model y:
InSbPb2 | the Alexandria database | GGA-PBEsol | relaxed; space group = F-43m, No. 216
1.0
-1.257 -2.216 4.773
-0.550 -5.365 0.431
3.694 -2.890 2.697
In Pb Sb
1 2 1
direct
0.500 0.500 0.500
0.000 0.000 0.000
0.750 0.750 0.750
0.250 0.250 0.250

***

It comes down to model w, which is 16 meV/atom more stable than the next structure.

***

Model w:
In2PbSe | the Alexandria database | GGA-PBEsol | relaxed; space group = F-43m, No. 216
1.0
-0.350 2.476 -4.619
3.159 -1.378 -3.964
-1.968 -2.502 -4.178
In Se Pb
2 1 1
direct
0.250 0.250 0.250
0.000 0.000 0.000
0.750 0.750 0.750
0.500 0.500 0.500

***

Model x:
In2PbSe | the Alexandria database | GGA-PBEsol | relaxed; space group = P4mm, No. 99
1.0
3.811 0.000 0.000
0.000 3.811 0.000
0.000 0.000 6.990
Se In Pb
1 2 1
direct
0.500 0.500 0.775
0.500 0.500 0.238
0.000 0.000 0.976
0.000 0.000 0.511

***

It comes down to model x, which is 90 meV/atom more stable than the next structure.

***

Model w:
In2SiPb | the Alexandria database | GGA-PBEsol | relaxed; space group = R3m, No. 160
1.0
3.366 0.000 0.000
1.683 2.915 0.000
1.683 0.972 9.936
In Pb Si
2 1 1
direct
0.745 0.745 0.765
0.992 0.992 0.024
0.509 0.509 0.474
0.254 0.254 0.237

***

Model x:
In2SiPb | the Alexandria database | GGA-PBEsol | relaxed; space group = I-4m2, No. 119
1.0
4.460 0.000 0.000
0.000 4.460 0.000
-2.230 -2.230 4.854
In Si Pb
2 1 1
direct
0.750 0.250 0.500
0.000 0.000 0.000
0.250 0.750 0.500
0.500 0.500 0.000

***

Model y:
In2SiPb | the Alexandria database | GGA-PBEsol | relaxed; space group = Pmmm, No. 47
1.0
3.540 0.000 0.392
0.000 3.496 0.000
-0.848 0.000 7.603
In Si Pb
2 1 1
direct
0.000 0.000 0.708
0.000 0.000 0.292
0.500 0.500 0.500
0.500 0.500 0.000

***

Model z:
In2SiPb | the Alexandria database | GGA-PBEsol | relaxed; space group = Fm-3m, No. 225
1.0
-3.851 -2.163 -2.647
0.926 -2.184 -4.570
-0.223 -5.120 -0.500
Si Pb In
1 1 2
direct
0.500 0.500 0.500
0.000 0.000 0.000
0.250 0.250 0.250
0.750 0.750 0.750

***

It comes down to model y, which is 38 meV/atom more stable than the next structure.

***

Model w:
Sr2InPb | the Alexandria database | GGA-PBEsol | relaxed; space group = Pmm2, No. 25
1.0
-0.980 3.925 -0.095
-4.856 -1.276 -2.619
-2.570 -0.520 5.020
Sr Pb In
2 1 1
direct
0.000 0.000 0.122
0.000 0.500 0.628
0.500 0.500 0.130
0.500 0.000 0.621

***

Model x:
Sr2InPb | the Alexandria database | GGA-PBEsol | relaxed; space group = Pmmm, No. 47
1.0
3.653 0.000 0.000
0.000 4.743 0.000
0.000 0.000 7.289
Sr In Pb
2 1 1
direct
0.000 0.000 0.252
0.000 0.000 0.748
0.500 0.500 0.000
0.500 0.500 0.500

***

It comes down to model w, which is 17 meV/atom more stable than the next structure.

***

Model w:
TaInPb | the Alexandria database | GGA-PBEsol | relaxed; space group = Imm2, No. 44
1.0
3.264 0.000 0.000
0.000 3.973 0.000
-1.632 -1.986 4.946
Pb In Ta
1 1 1
direct
0.328 0.328 0.656
0.012 0.012 0.023
0.661 0.661 0.321

***

Model x:
TaInPb | the Alexandria database | GGA-PBEsol | relaxed; space group = P3m1, No. 156
1.0
2.942 0.000 0.000
0.000 5.076 0.000
0.000 -2.538 4.396
In Ta Pb
1 1 1
direct
0.975 0.000 0.000
0.366 0.333 0.667
0.659 0.667 0.333

***

It comes down to model w, which is 165 meV/atom more stable than the next structure.